A plane-wave DFT calculation with PBE+U was carried out for crystalline KVSi2O6 at its relaxed geometry.

## Properties
M_tot: 2.00 μB/f.u.
Energy: -146.41 eV for the cell shown

abc: 5.5156 7.6502 7.6502
angles: 95.13 76.70 76.70
With the nearest neighbours (Å) after each atom.
Sites, in units of the cell vectors:
K 0.2500 0.9000 0.1000  6 O 2.59-2.90
K 0.7500 0.1000 0.9000  6 O 2.59-2.90
V 0.2500 0.2410 0.7590  4 O 1.90-1.95
V 0.7500 0.7590 0.2410  4 O 1.90-1.95
Si 0.3433 0.7832 0.6254  4 O 1.62-1.66
Si 0.1567 0.3746 0.2168  4 O 1.62-1.66
Si 0.6567 0.2168 0.3746  4 O 1.62-1.66
Si 0.8433 0.6254 0.7832  4 O 1.62-1.66
O 0.2383 0.9877 0.7419  1 Si 1.64
O 0.2617 0.2581 0.0123  1 Si 1.64
O 0.7617 0.0123 0.2581  1 Si 1.64
O 0.7383 0.7419 0.9877  1 Si 1.64
O 0.4283 0.7757 0.4064  1 Si 1.62
O 0.0717 0.5936 0.2243  1 Si 1.62
O 0.5717 0.2243 0.5936  1 Si 1.62
O 0.9283 0.4064 0.7757  1 Si 1.62
O 0.1014 0.6878 0.6787  2 Si 1.65-1.66
O 0.3986 0.3213 0.3122  2 Si 1.65-1.66
O 0.8986 0.3122 0.3213  2 Si 1.65-1.66
O 0.6014 0.6787 0.6878  2 Si 1.65-1.66